No. 1
Computed, not measured: a relaxed structure of Ba4PAu2 at the GGA-PBE level of DFT.

Summary:
ΔH_f (0 K): -609.4 meV/atom

a = 6.3403 Å, b = 6.3403 Å, c = 9.0422 Å
α = 110.52°, β = 110.52°, γ = 90.00°
Fractional coordinates of all 7 atoms:
1 Ba 0.1975 0.1975 0.3951
2 Au 0.4069 0.4069 0.8139
3 P 0.0000 0.0000 0.0000
4 Ba 0.8025 0.8025 0.6049
5 Ba 0.0000 0.5000 0.0000
6 Ba 0.5000 0.0000 0.0000
7 Au 0.5931 0.5931 0.1861

***

No. 2
Computed, not measured: a relaxed structure of In2HgPdI at the GGA-PBE level of DFT.

Summary:
formation energy from raw total energies: -0.290 eV per atom

a = 5.3315 Å, b = 5.3315 Å, c = 5.3723 Å
α = 90.00°, β = 90.00°, γ = 90.00°
Fractional coordinates of all 5 atoms:
1 I 0.5000 0.5000 0.5000
2 In 0.5000 0.0000 0.0000
3 Pd 0.0000 0.0000 0.0000
4 Hg 0.0000 0.0000 0.5000
5 In 0.0000 0.5000 0.0000

***

No. 3
Computed, not measured: a relaxed structure of SrTl3N at the GGA-PBE level of DFT.

Summary:
formation energy from raw total energies: 0.463 eV per atom

a = 5.1987 Å, b = 5.1987 Å, c = 5.1987 Å
α = 90.00°, β = 90.00°, γ = 90.00°
Last column: magnetic moment on the atom in μB.
Fractional coordinates of all 5 atoms:
1 Tl 0.0000 0.5000 0.0000  0.02
2 Tl 0.0000 0.0000 0.5000  -0.01
3 Tl 0.5000 0.0000 0.0000  0.04
4 N 0.0000 0.0000 0.0000  0.63
5 Sr 0.5000 0.5000 0.5000  0.01

***

For the records above, the corresponding total magnetic moment values read 0.397; 0.000; 0.941 μB/f.u..